A relaxed structure of Ba3SiI, computed with GGA-PBE.

Cell and atoms, written as CIF:
```
data_Ba3SiI
_chemical_formula_sum 'Ba3 Si1 I1'
_cell_length_a 6.444
_cell_length_b 6.444
_cell_length_c 6.444
_cell_angle_alpha 90.00
_cell_angle_beta 90.00
_cell_angle_gamma 90.00
_symmetry_space_group_name_H-M 'P m -3 m'
_symmetry_Int_Tables_number 221
_symmetry_space_group_name_Hall '-P 4 2 3'
loop_
_atom_site_label
_atom_site_fract_x
_atom_site_fract_y
_atom_site_fract_z
Ba1 0.000 0.000 0.500
Si1 0.000 0.000 0.000
I1 0.500 0.500 0.500
```

## Properties
The value obtained for the total energy is -15.09 eV for the cell shown. The energy above the lowest structure with this stoichiometry is 189 meV/atom.

---

A relaxed structure of RePt2F, computed with GGA-PBE.

Cell and atoms, written as CIF:
```
data_RePt2F
_chemical_formula_sum 'Re4 Pt8 F4'
_cell_length_a 6.736
_cell_length_b 6.736
_cell_length_c 5.520
_cell_angle_alpha 90.00
_cell_angle_beta 90.00
_cell_angle_gamma 90.00
_symmetry_space_group_name_H-M 'I -4 2 d'
_symmetry_Int_Tables_number 122
_symmetry_space_group_name_Hall 'I -4 2bw'
loop_
_atom_site_label
_atom_site_fract_x
_atom_site_fract_y
_atom_site_fract_z
Re1 0.000 0.000 0.000
Pt1 0.244 0.750 0.625
F1 0.000 0.000 0.500
```

## Properties
The value obtained for the total energy is -100.29 eV for the cell shown. The energy above the lowest structure with this stoichiometry is 151 meV/atom.

---

| no. | formation energy without anion corrections (eV per atom) |
| --- | --- |
| 1 | -0.470 |
| 2 | 0.332 |